The following is a DFT calculation (PBE) of an optimized crystal structure of Sc3Cu2Pd8.

Cell: 5.2811 5.2811 28.0713 Å, 90.00 90.00 120.00°
Space group R-3m (No. 166, hexagonal axes)
Unique sites:
Sc 0.0000 0.0000 0.0000
Sc 0.0000 0.0000 0.1879
Cu 0.0000 0.0000 0.3643
Pd 0.0000 0.0000 0.2789
Pd 0.0009 0.5004 0.7709

DFT formation energy	-0.3902	eV/atom


The following is a DFT calculation (PBE) of an optimized crystal structure of PaCuAgPd.

Cell: 6.7052 6.7052 6.7052 Å, 90.00 90.00 90.00°
Space group F-43m (No. 216)
Unique sites:
Pa 0.0000 0.0000 0.0000
Cu 0.2500 0.2500 0.7500
Ag 0.0000 0.0000 0.5000
Pd 0.2500 0.2500 0.2500

DFT formation energy	-0.1072	eV/atom